The following is a DFT calculation (PBE+U) of SrBe2NiF8 after structural relaxation.

Cell: 4.7706 4.7706 7.4467 Å, 71.32 71.32 60.00°
Site moments in Bohr magnetons follow the coordinates.
Sites, in units of the cell vectors:
Sr 0.5000 0.5000 0.5000  0.00
F 0.7296 0.0370 0.8237  0.03
F 0.4097 0.7296 0.8237  0.03
F 0.8211 0.8211 0.5368  0.01
F 0.9630 0.5903 0.1763  0.03
F 0.0370 0.4097 0.8237  0.03
F 0.2704 0.9630 0.1763  0.03
F 0.5903 0.2704 0.1763  0.03
F 0.1789 0.1789 0.4632  0.01
Be 0.2543 0.2543 0.2371  0.00
Be 0.7457 0.7457 0.7629  0.00
Ni 0.0000 0.0000 0.0000  1.88

Properties
VASP energy (eV/atom): -5.36
Theoretical density (g/cm³): 3.85
Space group: R-3, No. 148
Fermi-level density of states (states/eV/cell): 0.000